1.
VASP calculation (SCAN) on a PBEsol-optimized structure of KTe8.

Calculated values
- Space group: I4/mmm, No. 139
- Formation energy (no corrections): -0.01 eV per atom

Cell: 7.4671 7.4671 7.4671 Å, 103.32 103.32 122.64°
Closest atoms and distances in Å follow each position.
Positions (direct):
1 K 0.0000 0.0000 0.0000  4 Te 3.30
2 Te 0.0000 0.3567 0.3567  1 Te 2.66
3 Te 0.0000 0.6433 0.6433  1 Te 2.66
4 Te 0.3416 0.3416 0.6832  4 Te 2.94-3.17
5 Te 0.3416 0.6584 0.0000  4 Te 2.94-3.17
6 Te 0.3567 0.0000 0.3567  1 Te 2.66
7 Te 0.6433 0.0000 0.6433  1 Te 2.66
8 Te 0.6584 0.3416 0.0000  4 Te 2.94-3.17
9 Te 0.6584 0.6584 0.3168  4 Te 2.94-3.17

---

2.
VASP calculation (SCAN) on a PBEsol-optimized structure of TcMoS2N.

Calculated values
- Space group: P4/mmm, No. 123
- Formation energy (no corrections): 0.50 eV per atom

Cell: 4.6925 4.6925 3.6214 Å, 90.00 90.00 90.00°
Closest atoms and distances in Å follow each position.
Positions (direct):
1 Tc 0.0000 0.0000 0.0000  2 N 1.81
2 Mo 0.5000 0.5000 0.5000  8 S 2.96, 4 N 3.32
3 S 0.0000 0.5000 0.0000  2 Tc 2.35
4 S 0.5000 0.0000 0.0000  2 Tc 2.35
5 N 0.0000 0.0000 0.5000  2 Tc 1.81

---

3.
VASP calculation (SCAN) on a PBEsol-optimized structure of KLi2P2.

Calculated values
- Space group: I4/mmm, No. 139
- ΔH_f (0 K): -2.96 eV per formula unit

Cell: 5.8006 5.8006 5.8006 Å, 135.48 135.48 64.78°
Closest atoms and distances in Å follow each position.
Positions (direct):
1 K 0.0000 0.0000 0.0000  8 P 3.29, 8 Li 3.29
2 Li 0.2500 0.7500 0.5000  4 P 2.59
3 Li 0.7500 0.2500 0.5000  4 P 2.59
4 P 0.3898 0.3898 0.0000  1 P 2.16
5 P 0.6102 0.6102 0.0000  1 P 2.16

---

4.
VASP calculation (SCAN) on a PBEsol-optimized structure of LiReAs2.

Calculated values
- Space group: Fm-3m, No. 225
- ΔH_f (0 K): -0.17 eV per formula unit
- Excess energy over the best structure of this formula in the dataset: 182 meV/atom

Cell: 4.3339 4.3339 4.3339 Å, 60.00 60.00 60.00°
Closest atoms and distances in Å follow each position.
Positions (direct):
1 Li 0.0000 0.0000 0.0000  8 As 2.65
2 Re 0.5000 0.5000 0.5000  8 As 2.65
3 As 0.2500 0.2500 0.2500  4 Re 2.65, 4 Li 2.65
4 As 0.7500 0.7500 0.7500  4 Re 2.65, 4 Li 2.65